La4Tl2Bi after structural relaxation. Source: Alexandria via LeMat-Bulk, functional PBE.

Calculated values
N(E_F) in states/eV per cell: 25.18
Size of the total moment in μB/f.u.: 0.00
Formation energy from the elements in eV/atom: -0.540
Distance to the lowest polymorph of the same formula in kJ per mole of atoms: 0.0

```
data_La4Tl2Bi
_symmetry_space_group_name_H-M 'I -4 2 d'
_symmetry_Int_Tables_number 122
_symmetry_space_group_name_Hall 'I -4 2bw'
_cell_length_a 9.857
_cell_length_b 9.857
_cell_length_c 9.869
_cell_angle_alpha 90.00
_cell_angle_beta 90.00
_cell_angle_gamma 90.00
loop_
_atom_site_label
_atom_site_fract_x
_atom_site_fract_y
_atom_site_fract_z
La1 0.072 0.177 0.305
Tl1 0.126 0.250 0.625
Bi1 0.000 0.000 0.000
```